# Cs3KV2O8

Cs3KV2O8 after structural relaxation (GGA+U, the Alexandria database).

Calculated values
theoretical density: 3.50 g cm⁻³
total magnetization: 2.02 μB per formula unit
electronic total energy: -82.3 eV/cell
crystal system: trigonal
SG: No. 164

```
data_Cs3KV2O8
_chemical_formula_sum 'Cs3 K1 V2 O8'
_cell_length_a 6.552
_cell_length_b 6.552
_cell_length_c 8.515
_cell_angle_alpha 90.00
_cell_angle_beta 90.00
_cell_angle_gamma 120.00
_space_group_name_H-M_alt 'P 1'
_space_group_IT_number 1
loop_
_space_group_symop_operation_xyz
'x,y,z'
loop_
_atom_site_label
_atom_site_fract_x
_atom_site_fract_y
_atom_site_fract_z
Cs1 0.000 0.000 0.000
Cs2 0.333 0.667 0.677
Cs3 0.667 0.333 0.323
O1 0.811 0.189 0.703
O2 0.377 0.189 0.703
O3 0.189 0.377 0.297
O4 0.333 0.667 0.024
O5 0.623 0.811 0.297
O6 0.189 0.811 0.297
O7 0.811 0.623 0.703
O8 0.667 0.333 0.976
V1 0.333 0.667 0.229
V2 0.667 0.333 0.771
K1 0.000 0.000 0.500
```